1.
# BiCSe2F | the Alexandria database | GGA-PBEsol | optimized geometry
# total DFT energy (no corrections): -18.03 eV per cell
# formation energy from raw total energies: 1.10 eV/atom
# density: 7.38 g/cm³
data_BiCSe2F
_cell_length_a 4.710
_cell_length_b 4.710
_cell_length_c 4.039
_cell_angle_alpha 90.00
_cell_angle_beta 90.00
_cell_angle_gamma 90.00
_space_group_name_H-M_alt 'P 4/m m m'
_space_group_IT_number 123
_space_group_name_Hall '-P 4 2'
loop_
_atom_site_label
_atom_site_fract_x
_atom_site_fract_y
_atom_site_fract_z
Bi1 0.000 0.000 0.000
C1 0.500 0.500 0.000
Se1 0.000 0.500 0.500
F1 0.500 0.500 0.500



2.
# IrOsPt | the Alexandria database | GGA-PBEsol | optimized geometry
# formation energy from the elements: 0.03 eV/atom
# total DFT energy (no corrections): -57.84 eV per cell
# polymorph energy (0 for the lowest one): 0 meV/atom
# density: 22.23 g/cm³
data_IrOsPt
_cell_length_a 2.717
_cell_length_b 2.717
_cell_length_c 11.689
_cell_angle_alpha 90.00
_cell_angle_beta 90.00
_cell_angle_gamma 90.00
_space_group_name_H-M_alt 'I 4 m m'
_space_group_IT_number 107
_space_group_name_Hall 'I 4 -2'
loop_
_atom_site_label
_atom_site_fract_x
_atom_site_fract_y
_atom_site_fract_z
Ir1 0.000 0.000 0.000
Os1 0.000 0.000 0.653
Pt1 0.000 0.000 0.322



3.
# FeH2Rh | the Alexandria database | GGA-PBEsol | optimized geometry
# total DFT energy (no corrections): -94.28 eV per cell
# density: 8.52 g/cm³
data_FeH2Rh
_cell_length_a 3.983
_cell_length_b 3.983
_cell_length_c 7.901
_cell_angle_alpha 90.00
_cell_angle_beta 90.00
_cell_angle_gamma 90.00
_space_group_name_H-M_alt 'I -4 2 d'
_space_group_IT_number 122
_space_group_name_Hall 'I -4 2bw'
loop_
_atom_site_label
_atom_site_fract_x
_atom_site_fract_y
_atom_site_fract_z
Fe1 0.000 0.000 0.000
H1 0.238 0.250 0.125
Rh1 0.000 0.000 0.500



4.
# Er2Co12P7 | the Alexandria database | GGA-PBEsol | optimized geometry
# formation energy from the elements: -0.91 eV/atom
# total DFT energy (no corrections): -162.29 eV per cell
# density: 8.69 g/cm³
data_Er2Co12P7
_cell_length_a 8.8800
_cell_length_b 8.8800
_cell_length_c 3.5200
_cell_angle_alpha 90.00
_cell_angle_beta 90.00
_cell_angle_gamma 120.00
_space_group_name_H-M_alt 'P -6'
_space_group_IT_number 174
_space_group_name_Hall 'P -6'
loop_
_atom_site_label
_atom_site_fract_x
_atom_site_fract_y
_atom_site_fract_z
Er1 0.0000 0.0000 0.0000
Er2 0.3333 0.6667 0.5000
Co1 0.0489 0.2800 0.5000
Co2 0.1019 0.7085 0.0000
Co3 0.3931 0.1796 0.0000
Co4 0.5351 0.4368 0.5000
P1 0.0728 0.4470 0.0000
P2 0.2635 0.2217 0.5000
P3 0.6667 0.3333 0.0000



5.
# TaSe2N2 | the Alexandria database | GGA-PBEsol | optimized geometry
# total DFT energy (no corrections): -29.69 eV per cell
# formation energy from raw total energies: 1.52 eV/atom
# polymorph energy (0 for the lowest one): 453 meV/atom
# density: 8.66 g/cm³
data_TaSe2N2
_cell_length_a 3.821
_cell_length_b 3.821
_cell_length_c 4.818
_cell_angle_alpha 90.00
_cell_angle_beta 90.00
_cell_angle_gamma 90.00
_space_group_name_H-M_alt 'P 4/m m m'
_space_group_IT_number 123
_space_group_name_Hall '-P 4 2'
loop_
_atom_site_label
_atom_site_fract_x
_atom_site_fract_y
_atom_site_fract_z
Ta1 0.000 0.000 0.000
Se1 0.500 0.500 0.000
Se2 0.500 0.500 0.500
N1 0.000 0.500 0.500



6.
# MnSe2Cl | the Alexandria database | GGA-PBEsol | optimized geometry
# total DFT energy (no corrections): -19.37 eV per cell
# formation energy from raw total energies: 0.02 eV/atom
# polymorph energy (0 for the lowest one): 341 meV/atom
# density: 5.14 g/cm³
data_MnSe2Cl
_cell_length_a 3.731
_cell_length_b 3.731
_cell_length_c 5.764
_cell_angle_alpha 90.00
_cell_angle_beta 90.00
_cell_angle_gamma 90.00
_space_group_name_H-M_alt 'P 4/m m m'
_space_group_IT_number 123
_space_group_name_Hall '-P 4 2'
loop_
_atom_site_label
_atom_site_fract_x
_atom_site_fract_y
_atom_site_fract_z
Mn1 0.000 0.000 0.000
Se1 0.000 0.500 0.500
Cl1 0.500 0.500 0.000



7.
# SiTePt | the Alexandria database | GGA-PBEsol | optimized geometry
# total DFT energy (no corrections): -143.94 eV per cell
# formation energy from raw total energies: -0.59 eV/atom
# density: 9.77 g/cm³
data_SiTePt
_cell_length_a 6.150
_cell_length_b 6.237
_cell_length_c 12.436
_cell_angle_alpha 90.00
_cell_angle_beta 90.00
_cell_angle_gamma 90.00
_space_group_name_H-M_alt 'P b c a'
_space_group_IT_number 61
_space_group_name_Hall '-P 2ac 2ab'
loop_
_atom_site_label
_atom_site_fract_x
_atom_site_fract_y
_atom_site_fract_z
Si1 0.130 0.166 0.061
Te1 0.117 0.583 0.825
Pt1 0.024 0.688 0.615



8.
# NaLi2Tc | the Alexandria database | GGA-PBEsol | optimized geometry
# formation energy from the elements: 0.92 eV/atom
# total DFT energy (no corrections): -51.74 eV per cell
# density: 3.20 g/cm³
data_NaLi2Tc
_cell_length_a 6.544
_cell_length_b 6.544
_cell_length_c 6.544
_cell_angle_alpha 90.00
_cell_angle_beta 90.00
_cell_angle_gamma 90.00
_space_group_name_H-M_alt 'F m -3 m'
_space_group_IT_number 225
_space_group_name_Hall '-F 4 2 3'
loop_
_atom_site_label
_atom_site_fract_x
_atom_site_fract_y
_atom_site_fract_z
Na1 0.000 0.000 0.000
Li1 0.250 0.250 0.250
Tc1 0.000 0.000 0.500



9.
# BeTl2InPb | the Alexandria database | GGA-PBEsol | optimized geometry
# formation energy from the elements: 0.61 eV/atom
# total DFT energy (no corrections): -13.18 eV per cell
# density: 8.31 g/cm³
data_BeTl2InPb
_cell_length_a 5.720
_cell_length_b 5.720
_cell_length_c 4.515
_cell_angle_alpha 90.00
_cell_angle_beta 90.00
_cell_angle_gamma 90.00
_space_group_name_H-M_alt 'P 4/m m m'
_space_group_IT_number 123
_space_group_name_Hall '-P 4 2'
loop_
_atom_site_label
_atom_site_fract_x
_atom_site_fract_y
_atom_site_fract_z
Be1 0.000 0.000 0.000
Tl1 0.000 0.500 0.500
In1 0.000 0.000 0.500
Pb1 0.500 0.500 0.000



10.
# CoIr3 | the Alexandria database | GGA-PBEsol | optimized geometry
# formation energy from the elements: 0.02 eV/atom
# total DFT energy (no corrections): -37.14 eV per cell
# density: 19.99 g/cm³
data_CoIr3
_cell_length_a 2.677
_cell_length_b 3.721
_cell_length_c 5.301
_cell_angle_alpha 90.00
_cell_angle_beta 90.00
_cell_angle_gamma 90.00
_space_group_name_H-M_alt 'P m m m'
_space_group_IT_number 47
_space_group_name_Hall '-P 2 2'
loop_
_atom_site_label
_atom_site_fract_x
_atom_site_fract_y
_atom_site_fract_z
Co1 0.000 0.000 0.000
Ir1 0.000 0.000 0.500
Ir2 0.500 0.500 0.242



11.
# Cs | the Alexandria database | GGA-PBEsol | optimized geometry
# formation energy from the elements: 0.01 eV/atom
# total DFT energy (no corrections): -18.60 eV per cell
# polymorph energy (0 for the lowest one): 13 meV/atom
# density: 2.01 g/cm³
data_Cs
_cell_length_a 13.000
_cell_length_b 13.000
_cell_length_c 13.000
_cell_angle_alpha 90.00
_cell_angle_beta 90.00
_cell_angle_gamma 90.00
_space_group_name_H-M_alt 'P 41 3 2'
_space_group_IT_number 213
_space_group_name_Hall 'P 4bd 2ab 3'
loop_
_atom_site_label
_atom_site_fract_x
_atom_site_fract_y
_atom_site_fract_z
Cs1 0.047 0.125 0.797
Cs2 0.062 0.938 0.438



12.
# Ti3RePd | the Alexandria database | GGA-PBEsol | optimized geometry
# formation energy from the elements: 0.72 eV/atom
# total DFT energy (no corrections): -40.67 eV per cell
# density: 7.20 g/cm³
data_Ti3RePd
_cell_length_a 4.650
_cell_length_b 4.650
_cell_length_c 4.650
_cell_angle_alpha 90.00
_cell_angle_beta 90.00
_cell_angle_gamma 90.00
_space_group_name_H-M_alt 'P m -3 m'
_space_group_IT_number 221
_space_group_name_Hall '-P 4 2 3'
loop_
_atom_site_label
_atom_site_fract_x
_atom_site_fract_y
_atom_site_fract_z
Ti1 0.000 0.000 0.500
Re1 0.000 0.000 0.000
Pd1 0.500 0.500 0.500



density of number 1 (BiCSe2F)? 7.38 g/cm³



Which of these has the lowest total DFT energy (no corrections)? Er2Co12P7



density of number 4 (Er2Co12P7)? 8.69 g/cm³



Which value of density does entry 1 give? 7.38 g/cm³